[1]
# Ac2TmH12Rh3 (PBE, optimized geometry)
data_Ac2TmH12Rh3
_cell_length_a 6.155
_cell_length_b 6.155
_cell_length_c 6.155
_cell_angle_alpha 67.79
_cell_angle_beta 67.79
_cell_angle_gamma 67.79
_space_group_name_H-M_alt 'P 1'
_space_group_IT_number 1
loop_
_space_group_symop_operation_xyz
'x,y,z'
loop_
_atom_site_label
_atom_site_fract_x
_atom_site_fract_y
_atom_site_fract_z
_atom_site_occupancy
Ac1 0.124 0.124 0.124 1
Ac2 0.876 0.876 0.876 1
Tm1 0.500 0.500 0.500 1
H1 0.115 0.622 0.622 1
H2 0.210 0.210 0.592 1
H3 0.210 0.592 0.210 1
H4 0.378 0.378 0.885 1
H5 0.378 0.885 0.378 1
H6 0.408 0.790 0.790 1
H7 0.592 0.210 0.210 1
H8 0.622 0.115 0.622 1
H9 0.622 0.622 0.115 1
H10 0.790 0.408 0.790 1
H11 0.790 0.790 0.408 1
H12 0.885 0.378 0.378 1
Rh1 0.000 0.500 0.500 1
Rh2 0.500 0.000 0.500 1
Rh3 0.500 0.500 0.000 1
# crystal system: trigonal
# total magnetic moment: 0.016 μB per atom
# density: 8.2 g cm⁻³
# VASP energy: -4.559 eV/atom

[2]
# AcTmH6Rh2 (PBE, optimized geometry)
data_AcTmH6Rh2
_cell_length_a 6.458
_cell_length_b 6.458
_cell_length_c 6.458
_cell_angle_alpha 43.39
_cell_angle_beta 43.39
_cell_angle_gamma 43.39
_space_group_name_H-M_alt 'P 1'
_space_group_IT_number 1
loop_
_space_group_symop_operation_xyz
'x,y,z'
loop_
_atom_site_label
_atom_site_fract_x
_atom_site_fract_y
_atom_site_fract_z
_atom_site_occupancy
Ac1 0.000 0.000 0.000 1
Tm1 0.500 0.500 0.500 1
H1 0.065 0.566 0.566 1
H2 0.434 0.434 0.935 1
H3 0.434 0.935 0.434 1
H4 0.566 0.065 0.566 1
H5 0.566 0.566 0.065 1
H6 0.935 0.434 0.434 1
Rh1 0.212 0.212 0.212 1
Rh2 0.788 0.788 0.788 1
# crystal system: trigonal
# total magnetic moment: 0.000 μB per atom
# density: 8.8 g cm⁻³
# VASP energy: -4.911 eV/atom

[3]
# AcTmH8Rh2 (PBE, optimized geometry)
data_AcTmH8Rh2
_cell_length_a 6.863
_cell_length_b 6.863
_cell_length_c 6.863
_cell_angle_alpha 42.12
_cell_angle_beta 42.12
_cell_angle_gamma 42.12
_space_group_name_H-M_alt 'P 1'
_space_group_IT_number 1
loop_
_space_group_symop_operation_xyz
'x,y,z'
loop_
_atom_site_label
_atom_site_fract_x
_atom_site_fract_y
_atom_site_fract_z
_atom_site_occupancy
Ac1 0.000 0.000 0.000 1
Tm1 0.500 0.500 0.500 1
H1 0.074 0.852 0.402 1
H2 0.148 0.598 0.926 1
H3 0.313 0.313 0.313 1
H4 0.402 0.074 0.852 1
H5 0.598 0.926 0.148 1
H6 0.687 0.687 0.687 1
H7 0.852 0.402 0.074 1
H8 0.926 0.148 0.598 1
Rh1 0.226 0.226 0.226 1
Rh2 0.774 0.774 0.774 1
# crystal system: trigonal
# total magnetic moment: 0.000 μB per atom
# density: 7.7 g cm⁻³
# VASP energy: -4.501 eV/atom

[4]
# Ac4HRu2 (PBE, optimized geometry)
data_Ac4HRu2
_cell_length_a 8.287
_cell_length_b 8.287
_cell_length_c 8.287
_cell_angle_alpha 144.12
_cell_angle_beta 144.12
_cell_angle_gamma 51.65
_space_group_name_H-M_alt 'P 1'
_space_group_IT_number 1
loop_
_space_group_symop_operation_xyz
'x,y,z'
loop_
_atom_site_label
_atom_site_fract_x
_atom_site_fract_y
_atom_site_fract_z
_atom_site_occupancy
Ac1 0.000 0.500 0.500 1
Ac2 0.197 0.197 0.000 1
Ac3 0.500 0.000 0.500 1
Ac4 0.803 0.803 0.000 1
H1 0.000 0.000 0.000 1
Ru1 0.380 0.380 0.000 1
Ru2 0.620 0.620 0.000 1
# crystal system: tetragonal
# total magnetic moment: 0.000 μB per atom
# density: 9.5 g cm⁻³
# VASP energy: -5.563 eV/atom